Entry 1:
## BaPmCuPd (PBE)

Data for an optimized crystal structure of BaPmCuPd.

POSCAR file:
```
BaPmCuPd
1.0
0.0000 3.7434 3.7434
3.7434 0.0000 3.7434
3.7434 3.7434 0.0000
Ba Pm Cu Pd
1 1 1 1
Direct
0.0000 0.0000 0.0000 Ba
0.5000 0.5000 0.5000 Pm
0.7500 0.7500 0.7500 Cu
0.2500 0.2500 0.2500 Pd
```

## Properties
- ΔE_f (eV/atom) = -0.20
- calculated volume (Å³ per cell) = 105
- E (eV per atom) = -4.1893

Entry 2:
## Ba2Cu3Pd12Pt (PBE)

Data for an optimized crystal structure of Ba2Cu3Pd12Pt.

POSCAR file:
```
Ba2Cu3Pd12Pt
1.0
3.3476 1.9327 9.3367
-3.3476 1.9327 9.3367
0.0000 -3.8655 9.3367
Ba Cu Pd Pt
2 3 12 1
Direct
0.1525 0.1525 0.1525 Ba
0.8475 0.8475 0.8475 Ba
0.0000 0.5000 0.5000 Cu
0.5000 0.0000 0.5000 Cu
0.5000 0.5000 0.0000 Cu
0.0885 0.0885 0.6893 Pd
0.0885 0.6893 0.0885 Pd
0.1514 0.5621 0.5621 Pd
0.3107 0.9115 0.9115 Pd
0.4379 0.4379 0.8486 Pd
0.4379 0.8486 0.4379 Pd
0.5621 0.1513 0.5621 Pd
0.5621 0.5621 0.1514 Pd
0.6893 0.0885 0.0885 Pd
0.8486 0.4379 0.4379 Pd
0.9115 0.3107 0.9115 Pd
0.9115 0.9115 0.3107 Pd
0.5000 0.5000 0.5000 Pt
```

## Properties
- ΔE_f (eV/atom) = 0.05
- calculated volume (Å³ per cell) = 362
- E (eV per atom) = -4.6414